# ZrTaAl2

A geometry-optimized ZrTaAl2 structure (PBE-GGA, Alexandria via LeMat-Bulk).

The crystal system is orthorhombic. Its space group is Cmmm (65). Its electronic total energy is -29.1 eV/cell.

Structure (POSCAR):
```
ZrTaAl2
1.0
-4.361 -1.125 2.378
2.120 -4.293 -1.736
1.452 -0.307 2.523
Al Zr Ta
2 1 1
Cartesian
-1.121 -2.709 0.321
0.000 0.000 0.000
1.786 -2.300 0.393
-1.455 -0.716 2.450
```